No. 1
DFT (GGA-PBE) results for a relaxed structure of Nd5U2Se12.

```
19
Lattice="8.1553 -3.9077 0.0000 8.1553 3.9077 0.0000 -2.8554 0.0000 9.0752" Properties=species:S:1:pos:R:3 pbc="T T T"
Nd 0.0000 0.0000 0.0000
Nd 4.3964 0.0000 1.2388
Nd 3.1747 0.0000 6.1411
Nd 10.2805 0.0000 2.9341
Nd 9.0588 0.0000 7.8364
U 6.7276 1.9177 4.5376
U 6.7276 -1.9177 4.5376
Se -0.7780 0.0000 2.7698
Se 4.1300 1.8179 3.7064
Se 3.0728 1.9294 8.4876
Se 10.3825 1.9294 0.5876
Se 9.3252 1.8179 5.3688
Se 7.3015 0.0000 2.5529
Se 6.1538 0.0000 6.5223
Se 4.1300 -1.8179 3.7064
Se 3.0728 -1.9294 8.4876
Se 10.3825 -1.9294 0.5876
Se 9.3252 -1.8179 5.3688
Se 14.2333 0.0000 6.3054
```

Total energy (eV/f.u.): -118.30
Crystal system: monoclinic
Formation energy (no corrections) (eV per atom): -1.583

---

No. 2
DFT (GGA-PBE) results for a relaxed structure of Na3FeMo.

```
5
Lattice="5.7703 0.0000 0.0000 0.0000 5.7703 0.0000 0.0000 0.0000 5.7703" Properties=species:S:1:pos:R:3 pbc="T T T"
Na 0.0000 0.0000 2.8851
Na 0.0000 2.8851 0.0000
Na 2.8851 0.0000 0.0000
Fe 2.8851 2.8851 2.8851
Mo 0.0000 0.0000 0.0000
```

Total energy (eV/f.u.): -13.87
Polymorph energy (0 for the lowest one) (meV per atom): 211
Crystal system: cubic
Formation energy (meV/atom): 1876

---

No. 3
DFT (GGA-PBE) results for a relaxed structure of CeTmBe.

```
3
Lattice="-1.6859 1.6859 6.0727 1.6859 -1.6859 6.0727 1.6859 1.6859 -6.0727" Properties=species:S:1:pos:R:3 pbc="T T T"
Ce 0.0000 0.0000 0.0000
Tm 0.0000 0.0000 3.3578
Be 0.0000 0.0000 7.8323
```

Total energy (eV/f.u.): -13.69
Crystal system: tetragonal
Formation energy (meV/atom): 148